## a
The following is a PBE calculation of an optimized crystal structure of Ni2Pt3Rh, from Alexandria. Values from VASP.

Geometry as Quantum ESPRESSO input:
```
&SYSTEM
  ibrav = 0, nat = 12, ntyp = 3
/
ATOMIC_SPECIES
Ni 58.69 Ni.upf
Pt 195.08 Pt.upf
Rh 102.91 Rh.upf
ATOMIC_POSITIONS angstrom
Ni 0.000 0.000 0.000
Ni 0.000 0.000 3.750
Ni 1.930 1.936 0.000
Ni 1.930 -1.936 0.000
Pt 1.930 3.874 1.811
Pt 1.930 3.874 5.689
Pt 1.930 0.000 1.805
Pt 1.930 0.000 5.695
Pt 1.930 -3.874 1.811
Pt 1.930 -3.874 5.689
Rh 1.930 1.904 3.750
Rh 1.930 -1.904 3.750
CELL_PARAMETERS angstrom
1.930 -5.794 0.000
1.930 5.794 0.000
0.000 0.000 7.500
```

***

## b
The following is a PBE calculation of an optimized crystal structure of Ni2Pt3Rh, from Alexandria. Values from VASP.

Geometry as Quantum ESPRESSO input:
```
&SYSTEM
  ibrav = 0, nat = 6, ntyp = 3
/
ATOMIC_SPECIES
Ni 58.69 Ni.upf
Pt 195.08 Pt.upf
Rh 102.91 Rh.upf
ATOMIC_POSITIONS angstrom
Ni 0.000 0.000 1.809
Ni 0.000 0.000 9.401
Pt 1.367 1.367 0.000
Pt 1.367 1.367 3.616
Pt 1.367 1.367 7.594
Rh 0.000 0.000 5.605
CELL_PARAMETERS angstrom
2.735 0.000 0.000
0.000 2.735 0.000
0.000 0.000 11.210
```

***

In kJ/mol of atoms, relative to the most stable structure: a 0.5; b 0.0.

***

## a
The following is a PBE calculation of an optimized crystal structure of Ni2PtRh8, from Alexandria. Values from VASP.

Geometry as Quantum ESPRESSO input:
```
&SYSTEM
  ibrav = 0, nat = 11, ntyp = 3
/
ATOMIC_SPECIES
Ni 58.69 Ni.upf
Pt 195.08 Pt.upf
Rh 102.91 Rh.upf
ATOMIC_POSITIONS angstrom
Ni 3.815 3.643 0.000
Ni 3.815 -3.643 0.000
Pt -0.879 0.000 2.074
Rh 0.834 1.395 3.632
Rh 2.935 2.276 2.074
Rh 1.728 0.000 1.521
Rh 0.834 -1.395 3.632
Rh 5.036 1.395 0.516
Rh 4.143 0.000 2.626
Rh 2.935 -2.276 2.074
Rh 5.036 -1.395 0.516
CELL_PARAMETERS angstrom
3.815 -4.968 0.000
3.815 4.968 0.000
-1.759 0.000 4.147
```

***

## b
The following is a PBE calculation of an optimized crystal structure of Ni2PtRh8, from Alexandria. Values from VASP.

Geometry as Quantum ESPRESSO input:
```
&SYSTEM
  ibrav = 0, nat = 11, ntyp = 3
/
ATOMIC_SPECIES
Ni 58.69 Ni.upf
Pt 195.08 Pt.upf
Rh 102.91 Rh.upf
ATOMIC_POSITIONS angstrom
Ni 3.932 3.922 0.000
Ni 3.932 -3.922 0.000
Pt 3.932 0.000 1.995
Rh 1.271 0.000 1.995
Rh 2.587 1.365 0.000
Rh 3.932 2.620 1.995
Rh 2.587 -1.365 0.000
Rh 5.278 1.365 0.000
Rh 3.932 -2.620 1.995
Rh 5.278 -1.365 0.000
Rh 6.593 0.000 1.995
CELL_PARAMETERS angstrom
3.932 -5.077 0.000
3.932 5.077 0.000
0.000 0.000 3.989
```

***

In kJ/mol of atoms, relative to the most stable structure: a 0.0; b 9.0.

***

## a
The following is a PBE calculation of an optimized crystal structure of Ni8Pt3Rh2, from Alexandria. Values from VASP.

Geometry as Quantum ESPRESSO input:
```
&SYSTEM
  ibrav = 0, nat = 13, ntyp = 3
/
ATOMIC_SPECIES
Ni 58.69 Ni.upf
Pt 195.08 Pt.upf
Rh 102.91 Rh.upf
ATOMIC_POSITIONS angstrom
Ni 3.037 5.364 0.000
Ni 1.813 1.697 2.017
Ni 3.037 2.354 0.000
Ni 1.813 -1.697 2.017
Ni 4.261 1.697 2.017
Ni 3.037 -2.354 0.000
Ni 4.261 -1.697 2.017
Ni 3.037 -5.364 0.000
Pt 0.000 0.000 2.017
Pt 1.752 0.000 0.000
Pt 4.323 0.000 0.000
Rh 3.037 3.874 2.017
Rh 3.037 -3.874 2.017
CELL_PARAMETERS angstrom
3.037 -7.310 0.000
3.037 7.310 0.000
0.000 0.000 4.034
```

***

## b
The following is a PBE calculation of an optimized crystal structure of Ni8Pt3Rh2, from Alexandria. Values from VASP.

Geometry as Quantum ESPRESSO input:
```
&SYSTEM
  ibrav = 0, nat = 13, ntyp = 3
/
ATOMIC_SPECIES
Ni 58.69 Ni.upf
Pt 195.08 Pt.upf
Rh 102.91 Rh.upf
ATOMIC_POSITIONS angstrom
Ni 0.000 0.000 6.341
Ni 0.000 -1.333 11.138
Ni -1.154 0.666 11.138
Ni -1.154 -0.666 16.820
Ni 1.154 0.666 11.138
Ni 1.154 -0.666 16.820
Ni 0.000 1.333 16.820
Ni 0.000 0.000 21.618
Pt 0.000 0.000 8.863
Pt 0.000 0.000 13.979
Pt 0.000 0.000 19.096
Rh 0.000 0.000 3.940
Rh 0.000 0.000 24.019
CELL_PARAMETERS angstrom
2.316 1.337 9.320
-2.316 1.337 9.320
0.000 -2.674 9.320
```

***

In kJ/mol of atoms, relative to the most stable structure: a 6.1; b 0.0.

***

## a
The following is a PBE calculation of an optimized crystal structure of Ni2Pt6Rh, from Alexandria. Values from VASP.

Geometry as Quantum ESPRESSO input:
```
&SYSTEM
  ibrav = 0, nat = 9, ntyp = 3
/
ATOMIC_SPECIES
Ni 58.69 Ni.upf
Pt 195.08 Pt.upf
Rh 102.91 Rh.upf
ATOMIC_POSITIONS angstrom
Ni 0.000 0.000 0.000
Ni 0.000 0.000 2.571
Pt -1.353 -0.720 9.243
Pt -0.381 -1.504 11.615
Pt -1.112 1.082 11.615
Pt 1.300 -0.812 9.243
Pt 0.053 1.532 9.243
Pt 1.493 0.422 11.615
Rh 0.000 0.000 7.156
CELL_PARAMETERS angstrom
2.613 1.509 6.501
-2.613 1.509 6.501
0.000 -3.017 6.501
```

***

## b
The following is a PBE calculation of an optimized crystal structure of Ni2Pt6Rh, from Alexandria. Values from VASP.

Geometry as Quantum ESPRESSO input:
```
&SYSTEM
  ibrav = 0, nat = 9, ntyp = 3
/
ATOMIC_SPECIES
Ni 58.69 Ni.upf
Pt 195.08 Pt.upf
Rh 102.91 Rh.upf
ATOMIC_POSITIONS angstrom
Ni 0.777 0.000 2.220
Ni 8.692 0.000 4.506
Pt 2.320 0.000 0.018
Pt -0.626 0.000 4.432
Pt 3.890 0.000 4.484
Pt 5.579 0.000 2.241
Pt 10.096 0.000 2.293
Pt 7.149 0.000 6.707
Rh 7.081 0.000 0.000
CELL_PARAMETERS angstrom
7.081 -1.390 0.000
7.081 1.390 0.000
-4.692 0.000 6.725
```

***

In kJ/mol of atoms, relative to the most stable structure: a 37.0; b 0.0.